Record 1
LiGe2PtI: optimized geometry, PBE.

Cell lengths 4.7863, 4.7863, 5.4772 Å; angles 90.00, 90.00, 90.00 degrees
Atoms (fractional coordinates):
Li 0.0000 0.0000 0.0000
Ge 0.0000 0.5000 0.5000
Ge 0.5000 0.0000 0.5000
Pt 0.0000 0.0000 0.5000
I 0.5000 0.5000 0.0000

As for the volume: 25.095 Å³ per atom. Its uncorrected energy is -19.68 eV per cell. As for the symmetry: No. 123. Its uncorrected formation energy is -0.1886 eV per atom.


Record 2
Rb2LiGeI6: optimized geometry, PBE.

Cell lengths 8.2916, 8.2916, 8.2916 Å; angles 60.00, 60.00, 60.00 degrees
Atoms (fractional coordinates):
Rb 0.2500 0.2500 0.2500
Rb 0.7500 0.7500 0.7500
Li 0.0000 0.0000 0.0000
Ge 0.5000 0.5000 0.5000
I 0.2532 0.2532 0.7468
I 0.2532 0.7468 0.2532
I 0.2532 0.7468 0.7468
I 0.7468 0.2532 0.2532
I 0.7468 0.2532 0.7468
I 0.7468 0.7468 0.2532

As for the volume: 40.308 Å³ per atom. Its uncorrected energy is -26.46 eV per cell. As for the symmetry: No. 225. Its uncorrected formation energy is -0.8694 eV per atom.


Record 3
Rb2Li2GeI6: optimized geometry, PBE.

Cell lengths 8.3897, 8.3897, 8.8255 Å; angles 113.46, 113.46, 61.10 degrees
Atoms (fractional coordinates):
Rb 0.2109 0.2109 0.1724
Rb 0.7891 0.7891 0.8276
Li 0.4348 0.4348 0.7187
Li 0.5652 0.5652 0.2813
Ge 0.0000 0.0000 0.5000
I 0.1908 0.7052 0.2175
I 0.2296 0.2296 0.5991
I 0.2948 0.8092 0.7825
I 0.7052 0.1908 0.2175
I 0.7704 0.7704 0.4009
I 0.8092 0.2948 0.7825

As for the volume: 43.838 Å³ per atom. Its uncorrected energy is -30.79 eV per cell. As for the symmetry: No. 12. Its uncorrected formation energy is -1.0100 eV per atom.